No. 1
Na2Cr3O6 | PBE+U | optimized geometry

```
Na2Cr3O6
1.0
2.593 -4.488 0.000
2.593 4.488 0.000
-1.723 0.000 5.467
Na Cr O
2 3 6
direct
0.167 0.833 0.000 Na
0.833 0.167 0.000 Na
0.000 0.000 0.500 Cr
0.335 0.665 0.500 Cr
0.665 0.335 0.500 Cr
0.058 0.395 0.686 O
0.267 0.267 0.313 O
0.395 0.058 0.686 O
0.605 0.942 0.314 O
0.733 0.733 0.687 O
0.942 0.605 0.314 O
```

Size of the total moment, μB per formula unit: 8.00
E, eV/atom: -6.830



No. 2
Na2CrO4 | PBE+U | optimized geometry

```
Na2CrO4
1.0
2.986 -4.685 0.000
2.986 4.685 0.000
0.000 0.000 7.182
Na Cr O
4 2 8
direct
0.000 0.000 0.000 Na
0.000 0.000 0.500 Na
0.317 0.683 0.750 Na
0.683 0.317 0.250 Na
0.354 0.646 0.250 Cr
0.646 0.354 0.750 Cr
0.230 0.314 0.250 O
0.251 0.749 0.062 O
0.251 0.749 0.438 O
0.314 0.230 0.750 O
0.686 0.770 0.250 O
0.749 0.251 0.562 O
0.749 0.251 0.938 O
0.770 0.686 0.750 O
```

Size of the total moment, μB per formula unit: 0.00
E, eV/atom: -5.893



No. 3
NaCr3O8 | PBE+U | optimized geometry

```
NaCr3O8
1.0
6.676 0.000 0.000
0.000 8.826 0.000
0.000 0.000 5.567
Na Cr O
2 6 16
direct
0.000 0.000 0.000 Na
0.500 0.500 0.500 Na
0.000 0.500 0.500 Cr
0.209 0.343 0.000 Cr
0.291 0.843 0.500 Cr
0.500 0.000 0.000 Cr
0.709 0.157 0.500 Cr
0.791 0.657 0.000 Cr
0.001 0.254 0.000 O
0.099 0.719 0.500 O
0.212 0.454 0.251 O
0.212 0.454 0.749 O
0.288 0.954 0.249 O
0.288 0.954 0.751 O
0.401 0.219 0.000 O
0.499 0.754 0.500 O
0.501 0.246 0.500 O
0.599 0.781 0.000 O
0.712 0.046 0.249 O
0.712 0.046 0.751 O
0.788 0.546 0.251 O
0.788 0.546 0.749 O
0.901 0.281 0.500 O
0.999 0.746 0.000 O
```

Excess energy over the best structure of this formula in the dataset, kJ per mole of atoms: 2.4
Size of the total moment, μB per formula unit: 3.00



Number 1 is which compound? Na2Cr3O6